(1)
# HoSc2Al9

An optimized crystal structure of HoSc2Al9 (PBE, Alexandria).

Calculated values
Distance to the lowest polymorph of the same formula = 0.111 eV/atom
Formation energy = -326.8 meV/atom
DOS at the Fermi energy = 18.68 states/eV/cell

Structure (CIF):
```
data_HoSc2Al9
_chemical_formula_sum 'Ho3 Sc6 Al27'
_symmetry_space_group_name_H-M 'R -3 m'
_symmetry_Int_Tables_number 166
_symmetry_space_group_name_Hall '-R 3 2"'
_cell_length_a 5.4387
_cell_length_b 5.4387
_cell_length_c 25.9876
_cell_angle_alpha 90.00
_cell_angle_beta 90.00
_cell_angle_gamma 120.00
loop_
_atom_site_label
_atom_site_type_symbol
_atom_site_fract_x
_atom_site_fract_y
_atom_site_fract_z
Ho1 Ho 0.0000 0.0000 0.0000
Sc1 Sc 0.0000 0.0000 0.1433
Al1 Al 0.0000 0.0000 0.3352
Al2 Al 0.0000 0.0000 0.5000
Al3 Al 0.0073 0.5037 0.9145
```

=====

(2)
# HgSb4Te

An optimized crystal structure of HgSb4Te (PBE, Alexandria).

Calculated values
Uncorrected formation energy = 0.303 eV per atom
DOS at the Fermi energy = 15.14 states/eV/cell

Structure (CIF):
```
data_HgSb4Te
_chemical_formula_sum 'Hg4 Sb16 Te4'
_symmetry_space_group_name_H-M 'F -4 3 m'
_symmetry_Int_Tables_number 216
_symmetry_space_group_name_Hall 'F -4 2 3'
_cell_length_a 8.894
_cell_length_b 8.894
_cell_length_c 8.894
_cell_angle_alpha 90.00
_cell_angle_beta 90.00
_cell_angle_gamma 90.00
loop_
_atom_site_label
_atom_site_type_symbol
_atom_site_fract_x
_atom_site_fract_y
_atom_site_fract_z
Hg1 Hg 0.000 0.000 0.000
Sb1 Sb 0.123 0.123 0.623
Te1 Te 0.250 0.250 0.250
```

=====

(3)
# Ce4SeCl5

An optimized crystal structure of Ce4SeCl5 (PBE, Alexandria).

Calculated values
Uncorrected formation energy = -1.822 eV per atom
DOS at the Fermi energy = 46.91 states/eV/cell

Structure (CIF):
```
data_Ce4SeCl5
_chemical_formula_sum 'Ce8 Se2 Cl10'
_symmetry_space_group_name_H-M 'C 1 2/m 1'
_symmetry_Int_Tables_number 12
_cell_length_a 17.515
_cell_length_b 3.964
_cell_length_c 8.414
_cell_angle_alpha 90.00
_cell_angle_beta 101.15
_cell_angle_gamma 90.00
loop_
_symmetry_equiv_pos_as_xyz
'x,y,z'
'-x,-y,-z'
'-x,y,-z'
'x,-y,z'
'x+1/2,y+1/2,z'
'-x+1/2,-y+1/2,-z'
'-x+1/2,y+1/2,-z'
'x+1/2,-y+1/2,z'
loop_
_atom_site_label
_atom_site_type_symbol
_atom_site_fract_x
_atom_site_fract_y
_atom_site_fract_z
Ce1 Ce 0.001 0.000 0.242
Ce2 Ce 0.168 0.500 0.072
Se1 Se 0.000 0.500 0.000
Cl1 Cl 0.000 0.500 0.500
Cl2 Cl 0.166 0.000 0.814
Cl3 Cl 0.167 0.000 0.320
```

=====

(4)
# YEr4Sc4

An optimized crystal structure of YEr4Sc4 (PBE, Alexandria).

Calculated values
Formation energy = 53.2 meV/atom
DOS at the Fermi energy = 28.39 states/eV/cell

Structure (CIF):
```
data_YEr4Sc4
_chemical_formula_sum 'Y2 Er8 Sc8'
_symmetry_space_group_name_H-M 'I 4/m m m'
_symmetry_Int_Tables_number 139
_symmetry_space_group_name_Hall '-I 4 2'
_cell_length_a 10.212
_cell_length_b 10.212
_cell_length_c 4.823
_cell_angle_alpha 90.00
_cell_angle_beta 90.00
_cell_angle_gamma 90.00
loop_
_atom_site_label
_atom_site_type_symbol
_atom_site_fract_x
_atom_site_fract_y
_atom_site_fract_z
Y1 Y 0.000 0.000 0.000
Er1 Er 0.169 0.169 0.500
Sc1 Sc 0.000 0.341 0.000
```

=====

(5)
# ZnTeAsN2

An optimized crystal structure of ZnTeAsN2 (PBE, Alexandria).

Calculated values
Distance to the lowest polymorph of the same formula = 0.384 eV/atom
Uncorrected formation energy = 1.548 eV per atom
DOS at the Fermi energy = 2.93 states/eV/cell

Structure (CIF):
```
data_ZnTeAsN2
_chemical_formula_sum 'Zn1 Te1 As1 N2'
_symmetry_space_group_name_H-M 'P 4/m m m'
_symmetry_Int_Tables_number 123
_symmetry_space_group_name_Hall '-P 4 2'
_cell_length_a 4.034
_cell_length_b 4.034
_cell_length_c 6.004
_cell_angle_alpha 90.00
_cell_angle_beta 90.00
_cell_angle_gamma 90.00
loop_
_atom_site_label
_atom_site_type_symbol
_atom_site_fract_x
_atom_site_fract_y
_atom_site_fract_z
Zn1 Zn 0.000 0.000 0.000
Te1 Te 0.000 0.000 0.500
As1 As 0.500 0.500 0.500
N1 N 0.000 0.500 0.000
```

=====

(6)
# ErPtI

An optimized crystal structure of ErPtI (PBE, Alexandria).

Calculated values
Uncorrected formation energy = -0.881 eV per atom

Structure (CIF):
```
data_ErPtI
_chemical_formula_sum 'Er16 Pt16 I16'
_symmetry_space_group_name_H-M 'F d d 2'
_symmetry_Int_Tables_number 43
_symmetry_space_group_name_Hall 'F 2 -2d'
_cell_length_a 12.454
_cell_length_b 13.075
_cell_length_c 8.311
_cell_angle_alpha 90.00
_cell_angle_beta 90.00
_cell_angle_gamma 90.00
loop_
_atom_site_label
_atom_site_type_symbol
_atom_site_fract_x
_atom_site_fract_y
_atom_site_fract_z
Er1 Er 0.062 0.217 0.000
Pt1 Pt 0.018 0.113 0.710
I1 I 0.085 0.120 0.336
```

=====

no.,magnetic moment (μB per formula unit),uncorrected energy (eV per atom)
1,0.0,-4.57
2,0.0,-3.02
3,5.0,-5.47
4,0.0,-5.51
5,3.1,-3.60
6,0.0,-4.93